No. 1
Compound: FeTe3Os
Source: Alexandria
Functional: PBE
Structure: optimized geometry

Structure (POSCAR):
```
FeTe3Os
1.0
4.8308 0.0000 0.0000
0.0000 4.8308 0.0000
0.0000 0.0000 4.8308
Fe Te Os
1 3 1
direct
0.0000 0.0000 0.0000
0.0000 0.5000 0.0000
0.5000 0.0000 0.0000
0.0000 0.0000 0.5000
0.5000 0.5000 0.5000
```

Summary:
* D(E_F): 3.891 states/eV/cell
* E_form (uncorrected): 6.38 eV/f.u.
* space-group type: Pm-3m, No. 221
* volume: 112.7 Å³/cell
* calculated total energy: -4.548 eV per atom


No. 2
Compound: Fe3TeOs
Source: Alexandria
Functional: PBE
Structure: optimized geometry

Structure (POSCAR):
```
Fe3TeOs
1.0
4.6495 0.0000 0.0000
0.0000 4.6495 0.0000
0.0000 0.0000 4.6495
Te Fe Os
1 3 1
direct
0.5000 0.5000 0.5000
0.0000 0.5000 0.0000
0.0000 0.0000 0.5000
0.5000 0.0000 0.0000
0.0000 0.0000 0.0000
```

Summary:
* D(E_F): 7.849 states/eV/cell
* E_form (uncorrected): 6.42 eV/f.u.
* space-group type: Pm-3m, No. 221
* volume: 100.5 Å³/cell
* calculated total energy: -6.668 eV per atom


No. 3
Compound: Fe2TeOs2
Source: Alexandria
Functional: PBE
Structure: optimized geometry

Structure (POSCAR):
```
Fe2TeOs2
1.0
7.3482 0.0000 0.0000
0.0000 7.3482 0.0000
0.0000 0.0000 2.7443
Fe Os Te
4 4 2
direct
0.3355 0.8355 0.0000
0.6645 0.1645 0.0000
0.1645 0.3355 0.0000
0.8355 0.6645 0.0000
0.3751 0.1249 0.5000
0.6249 0.8751 0.5000
0.8751 0.3751 0.5000
0.1249 0.6249 0.5000
0.0000 0.0000 0.0000
0.5000 0.5000 0.0000
```

Summary:
* D(E_F): 12.686 states/eV/cell
* E_form (uncorrected): 3.03 eV/f.u.
* space-group type: P4/mbm, No. 127
* volume: 148.2 Å³/cell
* calculated total energy: -7.900 eV per atom


No. 4
Compound: Fe2TeOs
Source: Alexandria
Functional: PBE
Structure: optimized geometry

Structure (POSCAR):
```
Fe2TeOs
1.0
3.1480 0.0000 0.0000
0.0000 3.1480 0.0000
0.0000 0.0000 6.0523
Os Fe Te
1 2 1
direct
0.0000 0.0000 0.4808
0.5000 0.5000 0.2350
0.0000 0.0000 0.0242
0.5000 0.5000 0.7600
```

Summary:
* D(E_F): 2.930 states/eV/cell
* E_form (uncorrected): 1.84 eV/f.u.
* space-group type: P4mm, No. 99
* volume: 60.0 Å³/cell
* calculated total energy: -7.364 eV per atom


No. 5
Compound: Fe2TeOs
Source: Alexandria
Functional: PBE
Structure: optimized geometry

Structure (POSCAR):
```
Fe2TeOs
1.0
-1.0655 -1.6648 -2.5346
0.9376 -3.7693 2.0816
-3.8803 -0.0473 1.6623
Te Fe Os
1 2 1
direct
0.0000 0.5000 0.5000
0.0000 0.0000 0.0000
0.5000 0.5000 0.0000
0.5000 0.0000 0.5000
```

Summary:
* D(E_F): 2.980 states/eV/cell
* E_form (uncorrected): 2.17 eV/f.u.
* space-group type: Pmmm, No. 47
* volume: 59.8 Å³/cell
* calculated total energy: -7.282 eV per atom


No. 6
Compound: Fe2TeOs
Source: Alexandria
Functional: PBE
Structure: optimized geometry

Structure (POSCAR):
```
Fe2TeOs
1.0
-2.5465 3.6419 -2.5134
-5.0522 0.1340 0.7229
4.4827 0.2168 2.4339
Fe Os Te
2 1 1
direct
0.4962 0.4962 0.0000
0.0038 0.0038 0.0000
0.7500 0.2500 0.5000
0.2500 0.7500 0.5000
```

Summary:
* D(E_F): 3.626 states/eV/cell
* E_form (uncorrected): 2.27 eV/f.u.
* space-group type: Immm, No. 71
* volume: 60.4 Å³/cell
* calculated total energy: -7.257 eV per atom


No. 7
Compound: FeTe2Os2
Source: Alexandria
Functional: PBE
Structure: optimized geometry

Structure (POSCAR):
```
FeTe2Os2
1.0
7.4954 0.0000 0.0000
0.0000 7.4954 0.0000
0.0000 0.0000 3.1678
Fe Te Os
2 4 4
direct
0.5000 0.5000 0.0000
0.0000 0.0000 0.0000
0.3384 0.8384 0.0000
0.1616 0.3384 0.0000
0.6616 0.1616 0.0000
0.8384 0.6616 0.0000
0.8603 0.3603 0.5000
0.3603 0.1397 0.5000
0.6397 0.8603 0.5000
0.1397 0.6397 0.5000
```

Summary:
* D(E_F): 14.667 states/eV/cell
* E_form (uncorrected): 5.88 eV/f.u.
* space-group type: P4/mbm, No. 127
* volume: 178.0 Å³/cell
* calculated total energy: -6.266 eV per atom


No. 8
Compound: FeTe4Os
Source: Alexandria
Functional: PBE
Structure: optimized geometry

Structure (POSCAR):
```
FeTe4Os
1.0
-3.4564 -3.2314 3.8711
-5.8537 -1.1364 -1.3479
-1.7533 -5.6691 -1.4703
Te Fe Os
4 1 1
direct
0.3744 0.8768 0.3744
0.3744 0.3744 0.8768
0.8768 0.3744 0.3744
0.3744 0.3744 0.3744
0.7500 0.7500 0.7500
0.0000 0.0000 0.0000
```

Summary:
* D(E_F): 8.241 states/eV/cell
* E_form (uncorrected): 10.23 eV/f.u.
* space-group type: F-43m, No. 216
* volume: 161.6 Å³/cell
* calculated total energy: -3.671 eV per atom


No. 9
Compound: Fe4TeOs
Source: Alexandria
Functional: PBE
Structure: optimized geometry

Structure (POSCAR):
```
Fe4TeOs
1.0
0.0000 3.4662 3.4662
3.4662 0.0000 3.4662
3.4662 3.4662 0.0000
Fe Te Os
4 1 1
direct
0.8725 0.3758 0.3758
0.3758 0.8725 0.3758
0.3758 0.3758 0.8725
0.3758 0.3758 0.3758
0.0000 0.0000 0.0000
0.7500 0.7500 0.7500
```

Summary:
* D(E_F): 6.638 states/eV/cell
* E_form (uncorrected): 2.60 eV/f.u.
* space-group type: F-43m, No. 216
* volume: 83.3 Å³/cell
* calculated total energy: -7.604 eV per atom


No. 10
Compound: FeTeOs3
Source: Alexandria
Functional: PBE
Structure: optimized geometry

Structure (POSCAR):
```
FeTeOs3
1.0
4.4809 0.0000 0.0000
0.0000 4.4809 0.0000
0.0000 0.0000 4.4809
Fe Te Os
1 1 3
direct
0.0000 0.0000 0.0000
0.5000 0.5000 0.5000
0.5000 0.0000 0.0000
0.0000 0.0000 0.5000
0.0000 0.5000 0.0000
```

Summary:
* D(E_F): 5.572 states/eV/cell
* E_form (uncorrected): 8.68 eV/f.u.
* space-group type: Pm-3m, No. 221
* volume: 90.0 Å³/cell
* calculated total energy: -7.323 eV per atom


No. 11
Compound: Fe2TeOs
Source: Alexandria
Functional: PBE
Structure: optimized geometry

Structure (POSCAR):
```
Fe2TeOs
1.0
-1.4062 -0.4618 3.4447
1.8421 -2.2079 0.4560
5.4010 1.7817 2.4437
Fe Te Os
2 1 1
direct
0.0000 0.9068 0.0475
0.0000 0.5932 0.4525
0.5000 0.7500 0.7500
0.5000 0.2500 0.2500
```

Summary:
* D(E_F): 4.463 states/eV/cell
* E_form (uncorrected): 2.19 eV/f.u.
* space-group type: P2/m, No. 10
* volume: 62.1 Å³/cell
* calculated total energy: -7.277 eV per atom


No. 12
Compound: Fe2TeOs
Source: Alexandria
Functional: PBE
Structure: optimized geometry

Structure (POSCAR):
```
Fe2TeOs
1.0
3.0735 0.0049 0.0000
-0.0055 3.0735 0.0000
0.0000 0.0000 6.2839
Os Fe Te
1 2 1
direct
0.5000 0.5000 0.2500
0.0000 0.0000 0.0195
0.0000 0.0000 0.4805
0.5000 0.5000 0.7500
```

Summary:
* D(E_F): 2.764 states/eV/cell
* E_form (uncorrected): 2.05 eV/f.u.
* space-group type: P4/mmm, No. 123
* volume: 59.4 Å³/cell
* calculated total energy: -7.313 eV per atom


No. 13
Compound: Fe2TeOs
Source: Alexandria
Functional: PBE
Structure: optimized geometry

Structure (POSCAR):
```
Fe2TeOs
1.0
4.5662 0.0601 -0.0278
-1.6042 4.2755 -0.0278
0.0160 0.0234 3.0590
Te Fe Os
1 2 1
direct
0.0000 0.5000 0.5000
0.5000 0.5000 0.0000
0.0000 0.0000 0.0000
0.5000 0.0000 0.5000
```

Summary:
* D(E_F): 5.442 states/eV/cell
* E_form (uncorrected): 2.29 eV/f.u.
* space-group type: Cmmm, No. 65
* volume: 60.0 Å³/cell
* calculated total energy: -7.252 eV per atom


No. 14
Compound: Fe2TeOs
Source: Alexandria
Functional: PBE
Structure: optimized geometry

Structure (POSCAR):
```
Fe2TeOs
1.0
-1.6591 -4.2158 0.0152
0.4926 -3.9332 2.1940
-3.3370 0.4475 3.2374
Fe Os Te
2 1 1
direct
0.9910 0.9910 0.0398
0.2488 0.2488 0.2219
0.5064 0.5064 0.4880
0.7537 0.7537 0.7503
```

Summary:
* D(E_F): 4.024 states/eV/cell
* E_form (uncorrected): 2.01 eV/f.u.
* space-group type: Cm, No. 8
* volume: 60.1 Å³/cell
* calculated total energy: -7.321 eV per atom


No. 15
Compound: Th4FeTe2Os
Source: Alexandria
Functional: PBE
Structure: optimized geometry

Structure (POSCAR):
```
Th4FeTe2Os
1.0
-3.9227 -1.2892 -0.0628
1.9807 -5.8495 -3.6409
0.4611 -1.7843 7.8236
Th Fe Te Os
4 1 2 1
direct
0.5000 0.7619 0.8020
0.5000 0.2381 0.1980
0.0000 0.7244 0.1942
0.0000 0.2756 0.8058
0.5000 0.5000 0.0000
0.5000 0.0000 0.5000
0.0000 0.5000 0.5000
0.0000 0.0000 0.0000
```

Summary:
* D(E_F): 2.616 states/eV/cell
* E_form (uncorrected): -5.71 eV/f.u.
* space-group type: P2/m, No. 10
* volume: 227.2 Å³/cell
* calculated total energy: -7.671 eV per atom


No. 16
Compound: Th8FeTe3Os3
Source: Alexandria
Functional: PBE
Structure: optimized geometry

Structure (POSCAR):
```
Th8FeTe3Os3
1.0
-8.2740 0.0583 -0.8313
4.4783 -6.1251 -3.4086
-0.9116 -0.0617 9.0690
Th Fe Te Os
8 1 3 3
direct
0.7407 0.9655 0.6893
0.7761 0.5523 0.3112
0.2660 0.5320 0.2998
0.2249 0.9655 0.6893
0.2593 0.0345 0.3107
0.7751 0.0345 0.3107
0.7340 0.4680 0.7002
0.2239 0.4477 0.6888
0.0000 0.0000 0.5000
0.0000 0.5000 0.0000
0.5000 0.5000 0.0000
0.0000 0.0000 0.0000
0.5000 0.5000 0.5000
0.5000 0.0000 0.5000
0.0000 0.5000 0.5000
```

Summary:
* D(E_F): 8.218 states/eV/cell
* E_form (uncorrected): -9.72 eV/f.u.
* space-group type: C2/m, No. 12
* volume: 464.0 Å³/cell
* calculated total energy: -8.043 eV per atom


No. 17
Compound: Th6FeTe3Os2
Source: Alexandria
Functional: PBE
Structure: optimized geometry

Structure (POSCAR):
```
Th6FeTe3Os2
1.0
-2.5220 2.3787 -6.3086
-4.0850 -4.2429 4.1385
-0.6988 6.8135 4.2140
Th Te Os Fe
6 3 2 1
direct
0.2593 0.2593 0.8028
0.3908 0.0654 0.1963
0.9346 0.6092 0.8037
0.6092 0.9346 0.8037
0.0654 0.3908 0.1963
0.7407 0.7407 0.1972
0.1685 0.8315 0.5000
0.8315 0.1685 0.5000
0.5000 0.5000 0.5000
0.6664 0.3336 0.0000
0.3336 0.6664 0.0000
0.0000 0.0000 0.0000
```

Summary:
* D(E_F): 5.041 states/eV/cell
* E_form (uncorrected): -9.06 eV/f.u.
* space-group type: C2/m, No. 12
* volume: 344.6 Å³/cell
* calculated total energy: -7.828 eV per atom


No. 18
Compound: Th3FeOs
Source: Alexandria
Functional: PBE
Structure: optimized geometry

Structure (POSCAR):
```
Th3FeOs
1.0
-2.6510 -0.7248 2.7919
5.0991 -5.7467 3.3498
1.0667 7.4461 2.9459
Os Th Fe
2 6 2
direct
0.7500 0.6596 0.7828
0.2500 0.3404 0.2172
0.2500 0.6852 0.0638
0.2500 0.9280 0.7881
0.2500 0.3684 0.5975
0.7500 0.0720 0.2119
0.7500 0.3148 0.9362
0.7500 0.6316 0.4025
0.7500 0.0700 0.5503
0.2500 0.9300 0.4497
```

Summary:
* D(E_F): 9.146 states/eV/cell
* space-group type: P2_1/m, No. 11
* volume: 242.4 Å³/cell
* calculated total energy: -8.583 eV per atom
* energy of formation from the pure elements: -0.1928 eV per atom


No. 19
Compound: Th2UFe4Os
Source: Alexandria
Functional: PBE
Structure: optimized geometry

Structure (POSCAR):
```
Th2UFe4Os
1.0
-2.7411 2.6155 3.9439
-3.8224 -4.0050 3.7911
5.3230 0.0884 7.4326
Fe Th U Os
8 4 2 2
direct
0.5180 0.3055 0.1489
0.7775 0.8055 0.6489
0.2320 0.1945 0.3511
0.9725 0.6945 0.8511
0.1765 0.3055 0.8511
0.5735 0.1945 0.6489
0.4169 0.8055 0.3511
0.3331 0.6945 0.1489
0.5775 0.5000 0.8451
0.1725 0.0000 0.6549
0.9225 0.5000 0.1549
0.8275 0.0000 0.3451
0.2500 0.5000 0.5000
0.5000 0.0000 0.0000
0.7500 0.5000 0.5000
0.0000 0.0000 0.0000
```

Summary:
* D(E_F): 23.285 states/eV/cell
* space-group type: Fddd, No. 70
* volume: 292.3 Å³/cell
* calculated total energy: -8.891 eV per atom
* energy of formation from the pure elements: 0.0096 eV per atom


No. 20
Compound: Ti2Fe2Os
Source: Alexandria
Functional: PBE
Structure: optimized geometry

Structure (POSCAR):
```
Ti2Fe2Os
1.0
3.1386 0.0000 0.0000
0.0000 3.1386 0.0000
1.5693 1.5693 7.3773
Os Fe Ti
1 2 2
direct
0.0000 0.0000 0.0000
0.2500 0.7500 0.5000
0.7500 0.2500 0.5000
0.6043 0.6043 0.7914
0.3957 0.3957 0.2086
```

Summary:
* D(E_F): 4.880 states/eV/cell
* space-group type: I4/mmm, No. 139
* volume: 72.7 Å³/cell
* calculated total energy: -8.741 eV per atom
* energy of formation from the pure elements: 0.0479 eV per atom


No. 21
Compound: Ti5Fe4Os
Source: Alexandria
Functional: PBE
Structure: optimized geometry

Structure (POSCAR):
```
Ti5Fe4Os
1.0
2.9885 0.0000 0.0000
0.0000 2.9885 0.0000
0.0000 0.0000 14.9061
Ti Fe Os
5 4 1
direct
0.5000 0.5000 0.3034
0.5000 0.5000 0.5000
0.5000 0.5000 0.8938
0.5000 0.5000 0.1062
0.5000 0.5000 0.6966
0.0000 0.0000 0.2050
0.0000 0.0000 0.5984
0.0000 0.0000 0.4016
0.0000 0.0000 0.7950
0.0000 0.0000 0.0000
```

Summary:
* D(E_F): 3.609 states/eV/cell
* space-group type: P4/mmm, No. 123
* volume: 133.1 Å³/cell
* calculated total energy: -8.915 eV per atom
* energy of formation from the pure elements: -0.4595 eV per atom


No. 22
Compound: Ti4FeOs
Source: Alexandria
Functional: PBE
Structure: optimized geometry

Structure (POSCAR):
```
Ti4FeOs
1.0
-3.8424 0.7728 -1.4402
-1.0345 -4.0005 0.6133
-1.8083 1.3013 5.5061
Ti Fe Os
4 1 1
direct
0.5011 0.9969 0.2600
0.0014 0.4977 0.7363
0.0011 0.4969 0.2600
0.5015 0.9977 0.7363
0.0013 0.9973 0.4981
0.5013 0.4973 0.9981
```

Summary:
* D(E_F): 7.417 states/eV/cell
* space-group type: C2/m, No. 12
* volume: 103.6 Å³/cell
* calculated total energy: -8.584 eV per atom
* energy of formation from the pure elements: -0.0386 eV per atom


No. 23
Compound: TiFe2Os
Source: Alexandria
Functional: PBE
Structure: optimized geometry

Structure (POSCAR):
```
TiFe2Os
1.0
4.0087 0.0000 0.0000
0.0000 3.6390 0.0000
0.0000 0.0000 3.6390
Fe Os Ti
2 1 1
direct
0.0000 0.0000 0.5000
0.0000 0.5000 0.0000
0.5000 0.5000 0.5000
0.5000 0.0000 0.0000
```

Summary:
* D(E_F): 4.704 states/eV/cell
* space-group type: P4/mmm, No. 123
* volume: 53.1 Å³/cell
* calculated total energy: -9.111 eV per atom
* energy of formation from the pure elements: -0.0988 eV per atom


No. 24
Compound: Ti2FeOs2
Source: Alexandria
Functional: PBE
Structure: optimized geometry

Structure (POSCAR):
```
Ti2FeOs2
1.0
7.1338 0.0000 0.0000
0.0000 7.1338 0.0000
0.0000 0.0000 3.0661
Ti Os Fe
4 4 2
direct
0.3427 0.1573 0.5000
0.8427 0.3427 0.5000
0.1573 0.6573 0.5000
0.6573 0.8427 0.5000
0.3566 0.8566 0.0000
0.8566 0.6434 0.0000
0.6434 0.1434 0.0000
0.1434 0.3566 0.0000
0.0000 0.0000 0.0000
0.5000 0.5000 0.0000
```

Summary:
* D(E_F): 10.688 states/eV/cell
* space-group type: P4/mbm, No. 127
* volume: 156.0 Å³/cell
* calculated total energy: -9.353 eV per atom
* energy of formation from the pure elements: -0.0105 eV per atom


No. 25
Compound: Ti2Fe2Os
Source: Alexandria
Functional: PBE
Structure: optimized geometry

Structure (POSCAR):
```
Ti2Fe2Os
1.0
-5.2019 -3.1783 3.2621
-2.9464 -1.4277 -6.0896
1.4057 -2.4171 -0.1134
Ti Fe Os
4 4 2
direct
0.3504 0.8504 0.0000
0.8504 0.6496 0.0000
0.6496 0.1496 0.0000
0.1496 0.3504 0.0000
0.6555 0.8445 0.5000
0.8445 0.3445 0.5000
0.3445 0.1555 0.5000
0.1555 0.6555 0.5000
0.0000 0.0000 0.0000
0.5000 0.5000 0.0000
```

Summary:
* D(E_F): 8.408 states/eV/cell
* space-group type: P4/mbm, No. 127
* volume: 133.8 Å³/cell
* calculated total energy: -8.724 eV per atom
* energy of formation from the pure elements: 0.0646 eV per atom